Entry 1:
The following is a DFT calculation (PBE-GGA) of a relaxed structure of Rb2YZn2Te4.

Cell lengths 4.737, 8.521, 8.574 Å; angles 108.26, 106.03, 90.00 degrees
Atoms (fractional coordinates):
Te  0.201  0.167  0.401
Te  0.513  0.765  0.027
Te  0.799  0.833  0.599
Zn  0.674  0.996  0.347
Zn  0.326  0.004  0.653
Rb  0.868  0.434  0.735
Rb  0.132  0.566  0.265
Y  0.000  0.000  0.000
Te  0.487  0.235  0.973



Entry 2:
The following is a DFT calculation (PBE-GGA) of a relaxed structure of RbYZnTe3.

Cell lengths 4.426, 9.993, 10.697 Å; angles 109.97, 90.00, 90.00 degrees
Atoms (fractional coordinates):
Zn  0.250  0.083  0.608
Zn  0.750  0.917  0.392
Y  0.750  0.329  0.862
Te  0.750  0.468  0.165
Rb  0.750  0.787  0.757
Te  0.750  0.890  0.138
Y  0.250  0.671  0.138
Te  0.250  0.795  0.460
Te  0.250  0.110  0.862
Te  0.250  0.532  0.835
Te  0.750  0.205  0.540
Rb  0.250  0.213  0.243



Number 1: raw formation energy -83.7 kJ per mole of atoms. Number 2: raw formation energy -103.9 kJ per mole of atoms.